First-principles (PBE) data for Ba2Sr3Cd4 after structural relaxation, as listed in Alexandria. Values from VASP.

Summary:
SG	No. 14
ΔE_f	-2.40	eV/f.u.
D(E_F)	20.84	states/eV/cell
E	-14.95	eV per formula unit

The structure in Quantum ESPRESSO input format:
```
&SYSTEM
  ibrav = 0, nat = 18, ntyp = 3
/
ATOMIC_SPECIES
Ba 137.33 Ba.upf
Sr 87.62 Sr.upf
Cd 112.41 Cd.upf
CELL_PARAMETERS angstrom
8.901 -0.041 0.000
-2.971 8.825 0.000
0.000 0.000 9.193
ATOMIC_POSITIONS angstrom
Ba 4.449 1.619 3.024
Ba 5.931 7.144 7.620
Ba 1.481 7.165 6.170
Ba -0.001 1.640 1.573
Sr -1.485 4.412 4.597
Sr 2.965 4.392 0.000
Sr 5.930 2.133 7.577
Sr 4.450 6.630 2.980
Sr 0.000 6.651 1.616
Sr 1.480 2.154 6.213
Cd 7.529 0.658 4.910
Cd 2.851 8.106 0.313
Cd -1.599 8.126 4.284
Cd 3.079 0.678 8.880
Cd 6.342 4.313 1.123
Cd 4.039 4.450 5.719
Cd -0.412 4.471 8.071
Cd 1.892 4.333 3.474
```

=====

First-principles (PBE) data for Na3NdU3Se8 after structural relaxation, as listed in Alexandria. Values from VASP.

Summary:
SG	No. 166
D(E_F)	16.13	states/eV/cell
formation energy (no corrections)	-1883	kJ/mol of formula units
E	-89.98	eV per formula unit

The structure in Quantum ESPRESSO input format:
```
&SYSTEM
  ibrav = 0, nat = 15, ntyp = 4
/
ATOMIC_SPECIES
Na 22.99 Na.upf
Nd 144.24 Nd.upf
U 238.03 U.upf
Se 78.96 Se.upf
CELL_PARAMETERS angstrom
8.345 0.000 0.000
-4.172 7.227 -0.029
0.000 -4.795 7.055
ATOMIC_POSITIONS angstrom
Na 0.000 0.000 0.000
Na -2.086 3.614 -0.014
Na 2.086 3.614 -0.014
Nd 0.000 -2.398 3.527
U 4.172 -2.398 3.527
U 2.086 1.216 3.513
U -2.086 1.216 3.513
Se 0.000 2.414 1.870
Se 4.172 0.018 5.156
Se 4.172 2.346 1.880
Se 0.000 0.086 5.146
Se 6.200 -1.166 1.895
Se -2.028 3.598 5.132
Se 2.144 -1.166 1.895
Se 2.028 3.598 5.132
```

=====

First-principles (PBE) data for TiMn2Al2 after structural relaxation, as listed in Alexandria. Values from VASP.

Summary:
ΔE to the lowest computed polymorph	31	meV/atom
SG	No. 65
ΔE_f	-0.75	eV/f.u.
D(E_F)	4.23	states/eV/cell
E	-34.47	eV per formula unit

The structure in Quantum ESPRESSO input format:
```
&SYSTEM
  ibrav = 0, nat = 5, ntyp = 3
/
ATOMIC_SPECIES
Ti 47.87 Ti.upf
Mn 54.94 Mn.upf
Al 26.98 Al.upf
CELL_PARAMETERS angstrom
3.010 0.000 0.000
0.000 2.857 0.541
0.000 -0.123 8.458
ATOMIC_POSITIONS angstrom
Ti 0.000 0.000 0.000
Mn 1.505 1.154 1.716
Mn 1.505 1.579 7.283
Al 0.000 0.428 5.552
Al 0.000 2.306 3.447
```

=====

First-principles (PBE) data for Er2TmNpP4 after structural relaxation, as listed in Alexandria. Values from VASP.

Summary:
SG	No. 10
ΔE_f	-11.34	eV/f.u.
D(E_F)	9.77	states/eV/cell
E	-59.52	eV per formula unit

The structure in Quantum ESPRESSO input format:
```
&SYSTEM
  ibrav = 0, nat = 8, ntyp = 4
/
ATOMIC_SPECIES
Er 167.26 Er.upf
Tm 168.93 Tm.upf
Np 237.00 Np.upf
P 30.97 P.upf
CELL_PARAMETERS angstrom
3.951 0.000 0.000
0.000 6.845 0.126
0.000 -2.386 6.420
ATOMIC_POSITIONS angstrom
Er 1.976 -1.193 3.210
Er 0.000 2.229 3.273
Tm 1.976 3.423 0.063
Np 0.000 0.000 0.000
P 1.976 1.109 1.620
P 1.976 3.350 4.927
P 0.000 -0.094 4.866
P 0.000 4.553 1.681
```

=====

First-principles (PBE) data for Pm6Sm7Er16 after structural relaxation, as listed in Alexandria. Values from VASP.

Summary:
SG	No. 225
ΔE_f	5.48	eV/f.u.
D(E_F)	47.60	states/eV/cell
E	-129.06	eV per formula unit

The structure in Quantum ESPRESSO input format:
```
&SYSTEM
  ibrav = 0, nat = 29, ntyp = 3
/
ATOMIC_SPECIES
Pm 145.00 Pm.upf
Sm 150.36 Sm.upf
Er 167.26 Er.upf
CELL_PARAMETERS angstrom
-10.319 -3.941 -0.712
-2.357 -10.080 3.917
-6.151 -1.088 9.137
ATOMIC_POSITIONS angstrom
Pm -5.509 -8.952 4.924
Pm -13.318 -6.157 7.419
Pm -9.915 -5.555 2.363
Pm -8.913 -9.554 9.980
Pm -11.219 -11.132 4.530
Pm -7.609 -3.976 7.813
Sm 0.000 0.000 0.000
Sm -8.235 -2.514 4.213
Sm -1.179 -5.040 1.959
Sm -4.254 -5.584 6.527
Sm -5.159 -1.970 -0.356
Sm -3.076 -0.544 4.569
Sm -6.338 -7.010 1.603
Er -13.537 -12.417 6.815
Er -16.020 -12.856 10.503
Er -15.069 -8.787 8.922
Er -11.855 -11.265 10.790
Er -2.807 -2.253 1.840
Er -5.290 -2.692 5.528
Er -3.758 -6.321 3.421
Er -6.972 -3.843 1.553
Er -8.753 -8.784 3.404
Er -11.566 -9.282 7.583
Er -10.488 -4.671 5.791
Er -6.847 -7.480 7.908
Er -7.261 -5.827 4.760
Er -10.074 -6.324 8.939
Er -8.339 -10.437 6.552
Er -11.980 -7.629 4.435
```

=====

First-principles (PBE) data for CaCu2Br after structural relaxation, as listed in Alexandria. Values from VASP.

Summary:
ΔE to the lowest computed polymorph	253	meV/atom
SG	No. 10
D(E_F)	1.47	states/eV/cell
formation energy (no corrections)	-78	kJ/mol of formula units
E	-12.67	eV per formula unit

The structure in Quantum ESPRESSO input format:
```
&SYSTEM
  ibrav = 0, nat = 4, ntyp = 3
/
ATOMIC_SPECIES
Ca 40.08 Ca.upf
Cu 63.55 Cu.upf
Br 79.90 Br.upf
CELL_PARAMETERS angstrom
-1.317 2.124 -3.960
1.136 -2.892 -1.928
-4.512 -2.058 0.396
ATOMIC_POSITIONS angstrom
Ca -3.190 -2.650 -3.129
Cu -4.175 -2.743 -0.083
Cu -2.025 -1.790 -0.286
Br -1.502 -0.176 -2.363
```